Entry 1:
The following is a DFT calculation (GGA-PBE) of a relaxed ZrGa2I8 crystal.

Unit cell a=13.657 b=11.064 c=7.402 alpha=90.00 beta=101.72 gamma=90.00
Space group C2/m (No. 12)
Inequivalent atoms, fractional coordinates:
Zr (0.000, 0.000, 0.000) x2
Ga (0.191, 0.000, 0.651) x4
I (0.083, 0.177, 0.791) x8
I (0.121, 0.500, 0.198) x4
I (0.190, 0.000, 0.269) x4

Properties
formation energy without anion corrections	-6.42	eV/f.u.

Entry 2:
The following is a DFT calculation (GGA-PBE) of a relaxed Zr2Ga2I crystal.

Unit cell a=7.816 b=7.816 c=3.630 alpha=90.00 beta=90.00 gamma=90.00
Space group P4/mbm (No. 127)
Inequivalent atoms, fractional coordinates:
Zr (0.175, 0.325, 0.000) x4
Ga (0.116, 0.616, 0.500) x4
I (0.000, 0.000, 0.000) x2

Properties
formation energy without anion corrections	-1.36	eV/f.u.

Entry 3:
The following is a DFT calculation (GGA-PBE) of a relaxed ZrGaI crystal.

Unit cell a=14.695 b=3.567 c=6.064 alpha=90.00 beta=106.15 gamma=90.00
Space group C2/m (No. 12)
Inequivalent atoms, fractional coordinates:
Zr (0.240, 0.000, 0.275) x4
Ga (0.087, 0.000, 0.472) x4
I (0.109, 0.500, 0.947) x4

Properties
formation energy without anion corrections	-0.75	eV/f.u.

Entry 4:
The following is a DFT calculation (GGA-PBE) of a relaxed InGa crystal.

Unit cell a=4.482 b=10.524 c=6.156 alpha=90.00 beta=90.00 gamma=90.00
Space group Pmmn (No. 59, origin choice 2)
Inequivalent atoms, fractional coordinates:
In (0.250, 0.098, 0.076) x4
In (0.250, 0.750, 0.270) x2
Ga (0.250, 0.004, 0.619) x4
Ga (0.250, 0.750, 0.747) x2

Properties
formation energy from the elements	0.0581	eV per atom

Entry 5:
The following is a DFT calculation (GGA-PBE) of a relaxed InGa crystal.

Unit cell a=7.9110 b=7.9110 c=5.7011 alpha=90.00 beta=90.00 gamma=120.00
Space group P6_3/m (No. 176)
Inequivalent atoms, fractional coordinates:
In (0.1344, 0.7453, 0.2500) x6
Ga (0.1509, 0.7022, 0.7500) x6

Properties
formation energy from the elements	0.1126	eV per atom

Entry 6:
The following is a DFT calculation (GGA-PBE) of a relaxed In5Ga6 crystal.

Unit cell a=6.317 b=11.704 c=7.418 alpha=90.00 beta=111.13 gamma=90.00
Space group C2/m (No. 12)
Inequivalent atoms, fractional coordinates:
In (0.000, 0.000, 0.000) x2
In (0.000, 0.141, 0.500) x4
In (0.000, 0.273, 0.000) x4
Ga (0.149, 0.375, 0.684) x8
Ga (0.153, 0.500, 0.198) x4

Properties
formation energy from the elements	0.0523	eV per atom

Number 1: calculated volume 49.776 Å³ per atom. Number 2: calculated volume 22.178 Å³ per atom. Number 3: calculated volume 25.441 Å³ per atom. Number 4: calculated volume 24.199 Å³ per atom. Number 5: calculated volume 25.749 Å³ per atom. Number 6: calculated volume 23.255 Å³ per atom.